1.
Here is a relaxed structure of Ho4InSb2 from Alexandria via LeMat-Bulk. Energies are from PBE-GGA.

```
Ho4InSb2
1.0
8.209 -1.186 -0.175
-1.775 8.102 0.175
-3.089 -3.577 6.811
Ho In Sb
8 2 4
Direct
0.936 0.249 0.312
0.314 0.501 0.188
0.937 0.624 0.688
0.751 0.064 0.688
0.376 0.063 0.312
0.313 0.126 0.812
0.499 0.686 0.812
0.874 0.687 0.188
0.250 0.750 0.500
0.000 0.000 0.000
0.625 0.375 0.750
0.625 0.875 0.250
0.625 0.375 0.250
0.125 0.375 0.750
```

Properties
Crystal system: tetragonal
Uncorrected formation energy in kJ per mole of atoms: -59

***

2.
Here is a relaxed structure of KAlSbI2 from Alexandria via LeMat-Bulk. Energies are from PBE-GGA.

```
KAlSbI2
1.0
-2.968 1.236 -5.013
0.509 -5.684 -1.703
-4.640 -1.154 2.463
I Sb K Al
2 1 1 1
Direct
0.000 0.500 0.000
0.500 0.000 0.000
0.000 0.000 0.500
0.500 0.500 0.500
0.000 0.000 0.000
```

Properties
Energy above the most stable polymorph in this dataset in kJ/mol of atoms: 0.0
Crystal system: tetragonal
Uncorrected formation energy in kJ per mole of atoms: -33

***

3.
Here is a relaxed structure of Zn2In2I7 from Alexandria via LeMat-Bulk. Energies are from PBE-GGA.

```
Zn2In2I7
1.0
-2.986 1.295 -6.341
-6.664 -4.117 3.411
-0.934 7.881 3.163
Zn In I
2 2 7
Direct
0.409 0.233 0.233
0.591 0.767 0.767
0.000 0.304 0.696
0.000 0.696 0.304
0.778 0.917 0.582
0.222 0.418 0.083
0.222 0.083 0.418
0.778 0.582 0.917
0.500 0.000 0.000
0.259 0.609 0.609
0.741 0.391 0.391
```

Properties
Crystal system: monoclinic
Uncorrected formation energy in kJ per mole of atoms: -42

***

4.
Here is a relaxed structure of TbPm2Ir from Alexandria via LeMat-Bulk. Energies are from PBE-GGA.

```
TbPm2Ir
1.0
-0.396 -0.385 -6.404
0.054 -7.292 0.435
-9.739 -0.036 0.604
Tb Pm Ir
4 8 4
Direct
0.645 0.537 0.250
0.855 0.037 0.250
0.355 0.463 0.750
0.145 0.963 0.750
0.173 0.678 0.065
0.327 0.178 0.435
0.827 0.322 0.565
0.673 0.822 0.935
0.827 0.322 0.935
0.673 0.822 0.565
0.173 0.678 0.435
0.327 0.178 0.065
0.050 0.380 0.250
0.450 0.880 0.250
0.950 0.620 0.750
0.550 0.120 0.750
```

Properties
Energy above the most stable polymorph in this dataset in kJ/mol of atoms: 0.0
Crystal system: orthorhombic
E_form in eV per formula unit: -2.0

***

Size of the total moment (computed, Bohr magnetons per cell): 0.00, 1.29, 0.00, 0.00
Total DFT energy (no corrections) (computed, eV per atom): -4.795, -2.757, -2.156, -6.246